# InGeTe2, optimized geometry, DFT PBE
data_InGeTe2
_chemical_formula_sum 'In4 Ge4 Te8'
_cell_length_a 7.5151
_cell_length_b 7.5151
_cell_length_c 7.5151
_cell_angle_alpha 90.00
_cell_angle_beta 90.00
_cell_angle_gamma 90.00
_symmetry_space_group_name_H-M 'F m -3 m'
_symmetry_Int_Tables_number 225
_symmetry_space_group_name_Hall '-F 4 2 3'
loop_
_atom_site_label
_atom_site_fract_x
_atom_site_fract_y
_atom_site_fract_z
In1 0.0000 0.0000 0.0000
Ge1 0.0000 0.0000 0.5000
Te1 0.2500 0.2500 0.2500
# Energy relative to the lowest polymorph listed for this composition: 299 meV per atom
# Calculated volume: 424.4 Å³ per cell

=====

# InGe2Te, optimized geometry, DFT PBE
data_InGe2Te
_chemical_formula_sum 'In4 Ge8 Te4'
_cell_length_a 7.2430
_cell_length_b 7.2430
_cell_length_c 7.2430
_cell_angle_alpha 90.00
_cell_angle_beta 90.00
_cell_angle_gamma 90.00
_symmetry_space_group_name_H-M 'F m -3 m'
_symmetry_Int_Tables_number 225
_symmetry_space_group_name_Hall '-F 4 2 3'
loop_
_atom_site_label
_atom_site_fract_x
_atom_site_fract_y
_atom_site_fract_z
In1 0.0000 0.0000 0.0000
Ge1 0.2500 0.2500 0.2500
Te1 0.0000 0.0000 0.5000
# Energy relative to the lowest polymorph listed for this composition: 48 meV per atom
# Calculated volume: 380.0 Å³ per cell

=====

# InGeTe2, optimized geometry, DFT PBE
data_InGeTe2
_chemical_formula_sum 'In3 Ge3 Te6'
_cell_length_a 3.2706
_cell_length_b 3.2706
_cell_length_c 36.4921
_cell_angle_alpha 90.00
_cell_angle_beta 90.00
_cell_angle_gamma 120.00
_symmetry_space_group_name_H-M 'R -3 m'
_symmetry_Int_Tables_number 166
_symmetry_space_group_name_Hall '-R 3 2"'
loop_
_atom_site_label
_atom_site_fract_x
_atom_site_fract_y
_atom_site_fract_z
In1 0.0000 0.0000 0.0000
Ge1 0.0000 0.0000 0.5000
Te1 0.0000 0.0000 0.4182
# Energy relative to the lowest polymorph listed for this composition: 385 meV per atom
# Calculated volume: 338.1 Å³ per cell

=====

# InGeTe, optimized geometry, DFT PBE
data_InGeTe
_chemical_formula_sum 'In8 Ge8 Te8'
_cell_length_a 6.4754
_cell_length_b 11.6705
_cell_length_c 8.5451
_cell_angle_alpha 90.00
_cell_angle_beta 90.00
_cell_angle_gamma 90.00
_symmetry_space_group_name_H-M 'C m c e'
_symmetry_Int_Tables_number 64
_symmetry_space_group_name_Hall '-C 2ac 2'
loop_
_atom_site_label
_atom_site_fract_x
_atom_site_fract_y
_atom_site_fract_z
In1 0.2500 0.0901 0.2500
Ge1 0.0000 0.1203 0.5554
Te1 0.0000 0.1548 0.9105
# Calculated volume: 645.8 Å³ per cell

=====

# In2GeTe2, optimized geometry, DFT PBE
data_In2GeTe2
_chemical_formula_sum 'In4 Ge2 Te4'
_cell_length_a 8.1128
_cell_length_b 8.1128
_cell_length_c 4.2317
_cell_angle_alpha 90.00
_cell_angle_beta 90.00
_cell_angle_gamma 90.00
_symmetry_space_group_name_H-M 'P 4/m b m'
_symmetry_Int_Tables_number 127
_symmetry_space_group_name_Hall '-P 4 2ab'
loop_
_atom_site_label
_atom_site_fract_x
_atom_site_fract_y
_atom_site_fract_z
In1 0.1470 0.3530 0.0000
Ge1 0.0000 0.0000 0.0000
Te1 0.1617 0.6617 0.5000
# Energy relative to the lowest polymorph listed for this composition: 99 meV per atom
# Calculated volume: 278.5 Å³ per cell

=====

# InGe2Te, optimized geometry, DFT PBE
data_InGe2Te
_chemical_formula_sum 'In4 Ge8 Te4'
_cell_length_a 6.2697
_cell_length_b 6.2697
_cell_length_c 13.3156
_cell_angle_alpha 90.00
_cell_angle_beta 90.00
_cell_angle_gamma 90.00
_symmetry_space_group_name_H-M 'I -4 2 d'
_symmetry_Int_Tables_number 122
_symmetry_space_group_name_Hall 'I -4 2bw'
loop_
_atom_site_label
_atom_site_fract_x
_atom_site_fract_y
_atom_site_fract_z
In1 0.0000 0.0000 0.0000
Ge1 0.2356 0.2500 0.1250
Te1 0.0000 0.0000 0.5000
# Energy relative to the lowest polymorph listed for this composition: 0 meV per atom
# Calculated volume: 523.4 Å³ per cell

=====

# In2GeTe, optimized geometry, DFT PBE
data_In2GeTe
_chemical_formula_sum 'In8 Ge4 Te4'
_cell_length_a 6.4689
_cell_length_b 6.4689
_cell_length_c 12.9858
_cell_angle_alpha 90.00
_cell_angle_beta 90.00
_cell_angle_gamma 90.00
_symmetry_space_group_name_H-M 'I -4 2 d'
_symmetry_Int_Tables_number 122
_symmetry_space_group_name_Hall 'I -4 2bw'
loop_
_atom_site_label
_atom_site_fract_x
_atom_site_fract_y
_atom_site_fract_z
In1 0.2074 0.2500 0.1250
Ge1 0.0000 0.0000 0.0000
Te1 0.0000 0.0000 0.5000
# Energy relative to the lowest polymorph listed for this composition: 0 meV per atom
# Calculated volume: 543.4 Å³ per cell

=====

# In3GeTe, optimized geometry, DFT PBE
data_In3GeTe
_chemical_formula_sum 'In3 Ge1 Te1'
_cell_length_a 5.4302
_cell_length_b 5.4302
_cell_length_c 5.4302
_cell_angle_alpha 90.00
_cell_angle_beta 90.00
_cell_angle_gamma 90.00
_symmetry_space_group_name_H-M 'P m -3 m'
_symmetry_Int_Tables_number 221
_symmetry_space_group_name_Hall '-P 4 2 3'
loop_
_atom_site_label
_atom_site_fract_x
_atom_site_fract_y
_atom_site_fract_z
In1 0.0000 0.0000 0.5000
Ge1 0.0000 0.0000 0.0000
Te1 0.5000 0.5000 0.5000
# Energy relative to the lowest polymorph listed for this composition: 0 meV per atom
# Calculated volume: 160.1 Å³ per cell

=====

# In2GeTe2, optimized geometry, DFT PBE
data_In2GeTe2
_chemical_formula_sum 'In4 Ge2 Te4'
_cell_length_a 4.1765
_cell_length_b 4.1765
_cell_length_c 16.8262
_cell_angle_alpha 90.00
_cell_angle_beta 90.00
_cell_angle_gamma 90.00
_symmetry_space_group_name_H-M 'I 4/m m m'
_symmetry_Int_Tables_number 139
_symmetry_space_group_name_Hall '-I 4 2'
loop_
_atom_site_label
_atom_site_fract_x
_atom_site_fract_y
_atom_site_fract_z
In1 0.0000 0.5000 0.2500
Ge1 0.0000 0.0000 0.0000
Te1 0.0000 0.0000 0.4078
# Energy relative to the lowest polymorph listed for this composition: 122 meV per atom
# Calculated volume: 293.5 Å³ per cell

=====

# In2GeTe, optimized geometry, DFT PBE
data_In2GeTe
_chemical_formula_sum 'In6 Ge3 Te3'
_cell_length_a 3.9717
_cell_length_b 3.9717
_cell_length_c 29.2040
_cell_angle_alpha 90.00
_cell_angle_beta 90.00
_cell_angle_gamma 120.00
_symmetry_space_group_name_H-M 'R -3 m'
_symmetry_Int_Tables_number 166
_symmetry_space_group_name_Hall '-R 3 2"'
loop_
_atom_site_label
_atom_site_fract_x
_atom_site_fract_y
_atom_site_fract_z
In1 0.0000 0.0000 0.0971
Ge1 0.0000 0.0000 0.0000
Te1 0.0000 0.0000 0.5000
# Energy relative to the lowest polymorph listed for this composition: 421 meV per atom
# Calculated volume: 399.0 Å³ per cell

=====

# In12Ge3Te5, optimized geometry, DFT PBE
data_In12Ge3Te5
_chemical_formula_sum 'In96 Ge24 Te40'
_cell_length_a 17.7155
_cell_length_b 17.7155
_cell_length_c 17.7155
_cell_angle_alpha 90.00
_cell_angle_beta 90.00
_cell_angle_gamma 90.00
_symmetry_space_group_name_H-M 'I a -3 d'
_symmetry_Int_Tables_number 230
_symmetry_space_group_name_Hall '-I 4bd 2c 3'
loop_
_atom_site_label
_atom_site_fract_x
_atom_site_fract_y
_atom_site_fract_z
In1 0.0070 0.0774 0.6567
Ge1 0.0000 0.2500 0.1250
Te1 0.0000 0.0000 0.0000
Te2 0.0000 0.2500 0.3750
# Calculated volume: 5559.8 Å³ per cell

=====

# InGeTe2, optimized geometry, DFT PBE
data_InGeTe2
_chemical_formula_sum 'In3 Ge3 Te6'
_cell_length_a 4.2333
_cell_length_b 4.2333
_cell_length_c 22.6728
_cell_angle_alpha 90.00
_cell_angle_beta 90.00
_cell_angle_gamma 120.00
_symmetry_space_group_name_H-M 'R 3 m'
_symmetry_Int_Tables_number 160
_symmetry_space_group_name_Hall 'R 3 -2"'
loop_
_atom_site_label
_atom_site_fract_x
_atom_site_fract_y
_atom_site_fract_z
In1 0.0000 0.0000 0.0000
Ge1 0.0000 0.0000 0.1691
Te1 0.0000 0.0000 0.5761
Te2 0.0000 0.0000 0.7573
# Energy relative to the lowest polymorph listed for this composition: 55 meV per atom
# Calculated volume: 351.9 Å³ per cell

=====

# InGeTe2, optimized geometry, DFT PBE
data_InGeTe2
_chemical_formula_sum 'In4 Ge4 Te8'
_cell_length_a 6.0498
_cell_length_b 4.3780
_cell_length_c 19.6075
_cell_angle_alpha 90.00
_cell_angle_beta 90.00
_cell_angle_gamma 90.00
_symmetry_space_group_name_H-M 'P n m a'
_symmetry_Int_Tables_number 62
loop_
_symmetry_equiv_pos_as_xyz
'x,y,z'
'-x,-y,-z'
'-x+1/2,-y,z+1/2'
'x+1/2,y,-z+1/2'
'x+1/2,-y+1/2,-z+1/2'
'-x+1/2,y+1/2,z+1/2'
'-x,y+1/2,-z'
'x,-y+1/2,z'
loop_
_atom_site_label
_atom_site_fract_x
_atom_site_fract_y
_atom_site_fract_z
In1 0.2455 0.2500 0.0771
Ge1 0.2407 0.7500 0.3437
Te1 0.2206 0.2500 0.6813
Te2 0.2473 0.2500 0.4419
# Energy relative to the lowest polymorph listed for this composition: 63 meV per atom
# Calculated volume: 519.3 Å³ per cell

=====

# In2GeTe, optimized geometry, DFT PBE
data_In2GeTe
_chemical_formula_sum 'In8 Ge4 Te4'
_cell_length_a 7.4928
_cell_length_b 7.4928
_cell_length_c 7.4928
_cell_angle_alpha 90.00
_cell_angle_beta 90.00
_cell_angle_gamma 90.00
_symmetry_space_group_name_H-M 'F m -3 m'
_symmetry_Int_Tables_number 225
_symmetry_space_group_name_Hall '-F 4 2 3'
loop_
_atom_site_label
_atom_site_fract_x
_atom_site_fract_y
_atom_site_fract_z
In1 0.2500 0.2500 0.2500
Ge1 0.0000 0.0000 0.0000
Te1 0.0000 0.0000 0.5000
# Energy relative to the lowest polymorph listed for this composition: 316 meV per atom
# Calculated volume: 420.7 Å³ per cell

=====

# In2GeTe2, optimized geometry, DFT PBE
data_In2GeTe2
_chemical_formula_sum 'In4 Ge2 Te4'
_cell_length_a 8.2541
_cell_length_b 8.2541
_cell_length_c 4.4211
_cell_angle_alpha 90.00
_cell_angle_beta 90.00
_cell_angle_gamma 90.00
_symmetry_space_group_name_H-M 'P 4/m b m'
_symmetry_Int_Tables_number 127
_symmetry_space_group_name_Hall '-P 4 2ab'
loop_
_atom_site_label
_atom_site_fract_x
_atom_site_fract_y
_atom_site_fract_z
In1 0.1362 0.3638 0.0000
Ge1 0.0000 0.0000 0.5000
Te1 0.1767 0.6767 0.5000
# Energy relative to the lowest polymorph listed for this composition: 0 meV per atom
# Calculated volume: 301.2 Å³ per cell

=====

# InGeTe2, optimized geometry, DFT PBE
data_InGeTe2
_chemical_formula_sum 'In4 Ge4 Te8'
_cell_length_a 6.9221
_cell_length_b 6.9221
_cell_length_c 13.7096
_cell_angle_alpha 90.00
_cell_angle_beta 90.00
_cell_angle_gamma 90.00
_symmetry_space_group_name_H-M 'I -4 2 d'
_symmetry_Int_Tables_number 122
_symmetry_space_group_name_Hall 'I -4 2bw'
loop_
_atom_site_label
_atom_site_fract_x
_atom_site_fract_y
_atom_site_fract_z
In1 0.0000 0.0000 0.0000
Ge1 0.0000 0.0000 0.5000
Te1 0.2375 0.2500 0.6250
# Energy relative to the lowest polymorph listed for this composition: 223 meV per atom
# Calculated volume: 656.9 Å³ per cell

=====

# InGeTe2, optimized geometry, DFT PBE
data_InGeTe2
_chemical_formula_sum 'In3 Ge3 Te6'
_cell_length_a 3.9070
_cell_length_b 3.9070
_cell_length_c 29.5563
_cell_angle_alpha 90.00
_cell_angle_beta 90.00
_cell_angle_gamma 120.00
_symmetry_space_group_name_H-M 'R -3 m'
_symmetry_Int_Tables_number 166
_symmetry_space_group_name_Hall '-R 3 2"'
loop_
_atom_site_label
_atom_site_fract_x
_atom_site_fract_y
_atom_site_fract_z
In1 0.0000 0.0000 0.0000
Ge1 0.0000 0.0000 0.5000
Te1 0.0000 0.0000 0.1078
# Energy relative to the lowest polymorph listed for this composition: 289 meV per atom
# Calculated volume: 390.7 Å³ per cell

=====

# InGeTe2, optimized geometry, DFT PBE
data_InGeTe2
_chemical_formula_sum 'In3 Ge3 Te6'
_cell_length_a 4.3575
_cell_length_b 4.3575
_cell_length_c 21.1337
_cell_angle_alpha 90.00
_cell_angle_beta 90.00
_cell_angle_gamma 120.00
_symmetry_space_group_name_H-M 'R -3 m'
_symmetry_Int_Tables_number 166
_symmetry_space_group_name_Hall '-R 3 2"'
loop_
_atom_site_label
_atom_site_fract_x
_atom_site_fract_y
_atom_site_fract_z
In1 0.0000 0.0000 0.0000
Ge1 0.0000 0.0000 0.5000
Te1 0.0000 0.0000 0.2451
# Energy relative to the lowest polymorph listed for this composition: 0 meV per atom
# Calculated volume: 347.5 Å³ per cell

=====

# Tl2InGeTe, optimized geometry, DFT PBE
data_Tl2InGeTe
_chemical_formula_sum 'Tl2 In1 Ge1 Te1'
_cell_length_a 5.5607
_cell_length_b 5.5607
_cell_length_c 5.6897
_cell_angle_alpha 90.00
_cell_angle_beta 90.00
_cell_angle_gamma 90.00
_symmetry_space_group_name_H-M 'P 4/m m m'
_symmetry_Int_Tables_number 123
_symmetry_space_group_name_Hall '-P 4 2'
loop_
_atom_site_label
_atom_site_fract_x
_atom_site_fract_y
_atom_site_fract_z
Tl1 0.0000 0.5000 0.0000
In1 0.0000 0.0000 0.5000
Ge1 0.5000 0.5000 0.0000
Te1 0.5000 0.5000 0.5000
# Calculated volume: 175.9 Å³ per cell

=====

# Tl2InGeTe5, optimized geometry, DFT PBE
data_Tl2InGeTe5
_chemical_formula_sum 'Tl8 In4 Ge4 Te20'
_cell_length_a 4.1735
_cell_length_b 21.2605
_cell_length_c 13.5686
_cell_angle_alpha 90.00
_cell_angle_beta 90.00
_cell_angle_gamma 90.00
_symmetry_space_group_name_H-M 'C m c 21'
_symmetry_Int_Tables_number 36
loop_
_symmetry_equiv_pos_as_xyz
'x,y,z'
'-x,-y,z+1/2'
'-x,y,z'
'x,-y,z+1/2'
'x+1/2,y+1/2,z'
'-x+1/2,-y+1/2,z+1/2'
'-x+1/2,y+1/2,z'
'x+1/2,-y+1/2,z+1/2'
loop_
_atom_site_label
_atom_site_fract_x
_atom_site_fract_y
_atom_site_fract_z
Tl1 0.0000 0.1215 0.0000
Tl2 0.0000 0.1243 0.3644
In1 0.0000 0.2184 0.7131
Ge1 0.0000 0.4420 0.1127
Te1 0.0000 0.0324 0.7316
Te2 0.0000 0.2928 0.3641
Te3 0.0000 0.3210 0.0625
Te4 0.0000 0.3505 0.6783
Te5 0.0000 0.4952 0.4467
# Calculated volume: 1204.0 Å³ per cell

=====

# Tl2InGeTe4, optimized geometry, DFT PBE
data_Tl2InGeTe4
_chemical_formula_sum 'Tl4 In2 Ge2 Te8'
_cell_length_a 8.6191
_cell_length_b 8.6191
_cell_length_c 7.1656
_cell_angle_alpha 90.00
_cell_angle_beta 90.00
_cell_angle_gamma 90.00
_symmetry_space_group_name_H-M 'I -4 2 m'
_symmetry_Int_Tables_number 121
_symmetry_space_group_name_Hall 'I -4 2'
loop_
_atom_site_label
_atom_site_fract_x
_atom_site_fract_y
_atom_site_fract_z
Tl1 0.0000 0.5000 0.0000
In1 0.0000 0.0000 0.0000
Ge1 0.0000 0.0000 0.5000
Te1 0.1787 0.1787 0.2606
# Calculated volume: 532.3 Å³ per cell

=====

Energy relative to the elements, uncorrected
In order: 0.12, 0.27, 0.21, 0.06, 0.13, 0.22, -0.14, 0.14, 0.15, 0.28, 0.04, -0.12, -0.11, 0.17, 0.03, 0.05, 0.11, -0.17, 0.22, -0.17, -0.25
Unit: eV/atom
Size of the total moment
In order: 0.00, 0.00, 0.00, 0.00, 0.00, 0.00, 0.00, 0.00, 0.00, 0.00, 0.00, 0.00, 0.00, 0.00, 0.00, 0.00, 0.00, 0.00, 0.00, 0.00, 0.00
Unit: μB per atom